No. 1
# HgAsI3 PBE optimized geometry
data_HgAsI3
_cell_length_a 4.1804
_cell_length_b 8.5589
_cell_length_c 13.0917
_cell_angle_alpha 99.07
_cell_angle_beta 98.55
_cell_angle_gamma 90.61
_symmetry_space_group_name_H-M 'P 1'
_symmetry_Int_Tables_number 1
loop_
_symmetry_equiv_pos_as_xyz
'x,y,z'
loop_
_atom_site_label
_atom_site_type_symbol
_atom_site_fract_x
_atom_site_fract_y
_atom_site_fract_z
Hg1 Hg 0.0000 0.0000 0.0000
Hg2 Hg 0.0881 0.4153 0.1634
As1 As 0.2524 0.6807 0.5202
As2 As 0.8110 0.7329 0.6441
I1 I 0.1067 0.1034 0.2208
I2 I 0.4113 0.3896 0.5398
I3 I 0.4539 0.7942 0.9116
I4 I 0.6333 0.6211 0.2520
I5 I 0.9619 0.0241 0.6241
I6 I 0.9809 0.3121 0.9427
# Calculated density: 4.77 g cm⁻³
# Energy above the lowest structure with this stoichiometry: 0.00 eV per formula unit
# E_form (uncorrected): -0.825 eV/f.u.



No. 2
# ZrC PBE optimized geometry
data_ZrC
_cell_length_a 3.2439
_cell_length_b 3.2439
_cell_length_c 11.4332
_cell_angle_alpha 90.00
_cell_angle_beta 90.00
_cell_angle_gamma 90.00
_symmetry_space_group_name_H-M 'I 41/a m d'
_symmetry_Int_Tables_number 141
loop_
_symmetry_equiv_pos_as_xyz
'x,y,z'
'-x,-y,-z'
'-y+1/4,x+3/4,z+1/4'
'y+1/4,-x+3/4,-z+1/4'
'-x+1/2,-y,z+1/2'
'x+1/2,y,-z+1/2'
'y+1/4,-x+1/4,z+3/4'
'-y+1/4,x+1/4,-z+3/4'
'x,-y,-z'
'-x,y,z'
'-y+1/4,-x+1/4,-z+3/4'
'y+1/4,x+1/4,z+3/4'
'-x+1/2,y,-z+1/2'
'x+1/2,-y,z+1/2'
'y+1/4,x+3/4,-z+1/4'
'-y+1/4,-x+3/4,z+1/4'
'x+1/2,y+1/2,z+1/2'
'-x+1/2,-y+1/2,-z+1/2'
'-y+3/4,x+1/4,z+3/4'
'y+3/4,-x+1/4,-z+3/4'
'-x,-y+1/2,z'
'x,y+1/2,-z'
'y+3/4,-x+3/4,z+1/4'
'-y+3/4,x+3/4,-z+1/4'
'x+1/2,-y+1/2,-z+1/2'
'-x+1/2,y+1/2,z+1/2'
'-y+3/4,-x+3/4,-z+1/4'
'y+3/4,x+3/4,z+1/4'
'-x,y+1/2,-z'
'x,-y+1/2,z'
'y+3/4,x+1/4,-z+3/4'
'-y+3/4,-x+1/4,z+3/4'
loop_
_atom_site_label
_atom_site_type_symbol
_atom_site_fract_x
_atom_site_fract_y
_atom_site_fract_z
Zr1 Zr 0.0000 0.2500 0.3750
C1 C 0.0000 0.2500 0.8750
# DOS(E_F): 2.246 states/eV/cell
# Calculated density: 5.70 g cm⁻³
# Energy above the lowest structure with this stoichiometry: 1.95 eV per formula unit



No. 3
# PrDy4Mg5 PBE optimized geometry
data_PrDy4Mg5
_cell_length_a 3.8035
_cell_length_b 3.8035
_cell_length_c 19.1438
_cell_angle_alpha 90.00
_cell_angle_beta 90.00
_cell_angle_gamma 90.00
_symmetry_space_group_name_H-M 'P 4/m m m'
_symmetry_Int_Tables_number 123
_symmetry_space_group_name_Hall '-P 4 2'
loop_
_atom_site_label
_atom_site_type_symbol
_atom_site_fract_x
_atom_site_fract_y
_atom_site_fract_z
Pr1 Pr 0.0000 0.0000 0.0000
Dy1 Dy 0.0000 0.0000 0.2055
Dy2 Dy 0.0000 0.0000 0.4017
Mg1 Mg 0.5000 0.5000 0.1072
Mg2 Mg 0.5000 0.5000 0.3032
Mg3 Mg 0.5000 0.5000 0.5000
# DOS(E_F): 13.578 states/eV/cell
# Calculated density: 5.47 g cm⁻³



Uncorrected energy (computed, eV per atom): -2.0854 -8.7177 -3.2009
Magnetic moment (computed, μB/atom): 0.000 0.000 0.000